Record 1
## YAg9Hg2 (PBE-GGA)

Data for YAg9Hg2 after structural relaxation.

Values from the calculation:
For the uncorrected energy, the calculation gives -32.7 eV/f.u. The crystal system is trigonal.

a b c (Å): 5.6423 5.6423 27.1014
angles (deg): 90.00 90.00 120.00
With the nearest neighbours (Å) after each atom.
Space group R-3m (No. 166, hexagonal axes)
Asymmetric unit:
Y  0.0000  0.0000  0.0000 x3  18 Ag 3.26-3.64
Ag  0.0000  0.0000  0.3335 x6  6 Ag 2.81-2.82
Ag  0.0000  0.0000  0.5000 x3  6 Ag 2.77
Ag  0.0039  0.5019  0.9153 x18  7 Ag 2.77-2.85
Hg  0.0000  0.0000  0.1364 x6  12 Ag 3.15-3.44

Record 2
## YAg2Hg2 (PBE-GGA)

Data for YAg2Hg2 after structural relaxation.

Values from the calculation:
The calculation puts the energy above the most stable polymorph in this dataset at 86 meV/atom. The crystal system is tetragonal.

a b c (Å): 4.0908 4.0908 13.8080
angles (deg): 90.00 90.00 90.00
With the nearest neighbours (Å) after each atom.
Space group I4/mmm (No. 139)
Asymmetric unit:
Y  0.0000  0.0000  0.0000 x2  8 Hg 3.23
Ag  0.0000  0.5000  0.2500 x4  4 Hg 2.87, 4 Ag 2.89
Hg  0.0000  0.0000  0.3957 x4  4 Ag 2.87, 1 Hg 2.88

Record 3
## YAg2Hg (PBE-GGA)

Data for YAg2Hg after structural relaxation.

Values from the calculation:
For the uncorrected energy, the calculation gives -13.5 eV/f.u. The crystal system is cubic.

a b c (Å): 7.0210 7.0210 7.0210
angles (deg): 90.00 90.00 90.00
With the nearest neighbours (Å) after each atom.
Space group F-43m (No. 216)
Asymmetric unit:
Y  0.0000  0.0000  0.0000 x4  4 Ag 3.04, 4 Hg 3.04
Ag  0.0000  0.0000  0.5000 x4  4 Hg 3.04, 4 Ag 3.04
Ag  0.2500  0.2500  0.2500 x4  4 Y 3.04, 4 Ag 3.04
Hg  0.2500  0.2500  0.7500 x4  4 Y 3.04, 4 Ag 3.04

Record 4
## Y2AgHg (PBE-GGA)

Data for Y2AgHg after structural relaxation.

Values from the calculation:
For the uncorrected energy, the calculation gives -17.0 eV/f.u. The crystal system is trigonal.

a b c (Å): 3.8506 3.8506 25.7782
angles (deg): 90.00 90.00 120.00
With the nearest neighbours (Å) after each atom.
Space group R-3m (No. 166, hexagonal axes)
Asymmetric unit:
Y  0.0000  0.0000  0.2468 x6  3 Ag 3.04, 3 Hg 3.15
Ag  0.0000  0.0000  0.5000 x3  6 Y 3.04
Hg  0.0000  0.0000  0.0000 x3  6 Y 3.15

Record 5
## Y2AgHg (PBE-GGA)

Data for Y2AgHg after structural relaxation.

Values from the calculation:
For the uncorrected energy, the calculation gives -17.3 eV/f.u. The crystal system is monoclinic.

a b c (Å): 11.3590 3.6538 5.1244
angles (deg): 90.00 107.74 90.00
With the nearest neighbours (Å) after each atom.
Space group Cm (No. 8)
Asymmetric unit:
Y  0.0000  0.0000  0.0000 x2  4 Ag 3.16, 3 Hg 3.16-3.32, 1 Y 3.52
Y  0.2245  0.0000  0.6544 x2  4 Hg 3.16-3.17, 3 Ag 3.21-3.27, 2 Y 3.52-3.54
Ag  0.4742  0.0000  0.4835 x2  2 Hg 3.09, 7 Y 3.16-3.27
Hg  0.2565  0.5000  0.1766 x2  2 Ag 3.09, 7 Y 3.16-3.32

Record 6
## Y3AgHg3 (PBE-GGA)

Data for Y3AgHg3 after structural relaxation.

Values from the calculation:
For the uncorrected energy, the calculation gives -25.3 eV/f.u. The crystal system is monoclinic.

a b c (Å): 10.4312 10.1254 6.9527
angles (deg): 90.00 91.22 90.00
With the nearest neighbours (Å) after each atom.
Space group C2/m (No. 12)
Asymmetric unit:
Y  0.0868  0.0000  0.2648 x4  1 Ag 3.12, 5 Hg 3.13-3.17
Y  0.2423  0.1923  0.7483 x8  1 Ag 3.05, 5 Hg 3.09-3.28
Ag  0.1414  0.5000  0.5380 x4  3 Hg 2.82-2.94, 1 Ag 2.99, 3 Y 3.05-3.12
Hg  0.0000  0.2345  0.0000 x4  4 Hg 3.12-3.48, 6 Y 3.13-3.26
Hg  0.0000  0.2500  0.5000 x4  2 Ag 2.94, 6 Y 3.09-3.28
Hg  0.1456  0.5000  0.9441 x4  1 Ag 2.82, 2 Y 3.10, 3 Hg 3.12-3.15

Number 1: Fermi-level density of states 17.85 states/eV per cell. Number 2: Fermi-level density of states 4.96 states/eV per cell. Number 3: Fermi-level density of states 17.83 states/eV per cell. Number 4: Fermi-level density of states 13.78 states/eV per cell. Number 5: Fermi-level density of states 8.43 states/eV per cell. Number 6: Fermi-level density of states 29.18 states/eV per cell.